This record from Alexandria describes an optimized crystal structure of Ac8Ga3NiBr4. The functional is PBE.

Calculated values
D(E_F): 0.992 states/eV per atom
space-group type: C2/m, No. 12
formation energy (no corrections): -0.845 eV per atom
uncorrected energy: -67.9 eV/cell
size of the total moment: 0.000 μB/atom

```
Ac8Ga3NiBr4
1.0
7.9680 -4.5883 0.0000
7.9680 4.5883 0.0000
-5.3199 0.0000 7.6151
Ac Ga Ni Br
8 3 1 4
direct
0.2305 0.7513 0.7123
0.2319 0.2319 0.7143
0.2487 0.7695 0.2877
0.2559 0.2559 0.2674
0.7441 0.7441 0.7326
0.7513 0.2305 0.7123
0.7681 0.7681 0.2857
0.7695 0.2487 0.2877
0.0000 0.5000 0.5000
0.5000 0.0000 0.5000
0.5000 0.5000 0.5000
0.0000 0.0000 0.5000
0.0000 0.0000 0.0000
0.0000 0.5000 0.0000
0.5000 0.0000 0.0000
0.5000 0.5000 0.0000
```